Entry 1:
! PBE-GGA KHfAg2Ru, relaxed; values from VASP
! Space group: P4/mmm (123)
! Energy of formation in meV per atom: 523
! Calculated volume in Å³/cell: 136.0
&SYSTEM
  ibrav = 0, nat = 5, ntyp = 4
/
ATOMIC_SPECIES
K 39.10 K.upf
Hf 178.49 Hf.upf
Ag 107.87 Ag.upf
Ru 101.07 Ru.upf
CELL_PARAMETERS angstrom
5.379 0.000 0.000
0.000 5.379 0.000
0.000 0.000 4.699
ATOMIC_POSITIONS crystal
K 0.000 0.000 0.000
Hf 0.500 0.500 0.000
Ag 0.000 0.500 0.500
Ag 0.500 0.000 0.500
Ru 0.500 0.500 0.500

---

Entry 2:
! PBE-GGA K3Hf3AgS8, relaxed; values from VASP
! Space group: R-3m (166)
! E_form (uncorrected) in eV/f.u.: -19.9
! Calculated volume in Å³/cell: 368.8
&SYSTEM
  ibrav = 0, nat = 15, ntyp = 4
/
ATOMIC_SPECIES
K 39.10 K.upf
Hf 178.49 Hf.upf
Ag 107.87 Ag.upf
S 32.06 S.upf
CELL_PARAMETERS angstrom
3.802 2.195 7.363
-3.802 2.195 7.363
0.000 -4.390 7.363
ATOMIC_POSITIONS crystal
K 0.000 0.500 0.500
K 0.500 0.000 0.500
K 0.500 0.500 0.000
Hf 0.000 0.000 0.500
Hf 0.000 0.500 0.000
Hf 0.500 0.000 0.000
Ag 0.500 0.500 0.500
S 0.205 0.744 0.744
S 0.232 0.232 0.232
S 0.256 0.256 0.795
S 0.256 0.795 0.256
S 0.744 0.205 0.744
S 0.744 0.744 0.205
S 0.768 0.768 0.768
S 0.795 0.256 0.256

---

Entry 3:
! PBE-GGA KHfAgS3, relaxed; values from VASP
! Space group: Cmcm (63)
! E_form (uncorrected) in eV/f.u.: -6.6
! Calculated volume in Å³/cell: 320.8
&SYSTEM
  ibrav = 0, nat = 12, ntyp = 4
/
ATOMIC_SPECIES
K 39.10 K.upf
Hf 178.49 Hf.upf
Ag 107.87 Ag.upf
S 32.06 S.upf
CELL_PARAMETERS angstrom
3.474 -6.772 0.000
3.474 6.772 0.000
0.000 0.000 6.818
ATOMIC_POSITIONS crystal
K 0.221 0.779 0.750
K 0.779 0.221 0.250
Hf 0.445 0.555 0.250
Hf 0.555 0.445 0.750
Ag 0.089 0.911 0.250
Ag 0.911 0.089 0.750
S 0.256 0.256 0.000
S 0.256 0.256 0.500
S 0.272 0.728 0.250
S 0.728 0.272 0.750
S 0.744 0.744 0.000
S 0.744 0.744 0.500

---

Entry 4:
! PBE-GGA KHfAg2S4, relaxed; values from VASP
! Space group: I222 (23)
! E_form (uncorrected) in eV/f.u.: -6.2
! Calculated volume in Å³/cell: 197.2
&SYSTEM
  ibrav = 0, nat = 8, ntyp = 4
/
ATOMIC_SPECIES
K 39.10 K.upf
Hf 178.49 Hf.upf
Ag 107.87 Ag.upf
S 32.06 S.upf
CELL_PARAMETERS angstrom
-3.323 3.562 4.165
3.323 -3.562 4.165
3.323 3.562 -4.165
ATOMIC_POSITIONS crystal
K 0.000 0.000 0.000
Hf 0.500 0.500 0.000
Ag 0.317 0.817 0.500
Ag 0.683 0.183 0.500
S 0.131 0.132 0.597
S 0.465 0.868 0.999
S 0.535 0.534 0.403
S 0.869 0.466 0.001

---

Calculated energy (eV per atom), listed in the same order as above: -4.68; -5.93; -5.49; -4.94